Material: ZnCoSe2
Method: DFT, meta-GGA SCAN
State: PBEsol geometry

Cell: 3.5248 3.5248 21.4307 Å, 90.00 90.00 120.00°
Space group R-3m (No. 166, hexagonal axes)
Unique sites:
Zn 0.0000 0.0000 0.0000 x3
Co 0.0000 0.0000 0.5000 x3
Se 0.0000 0.0000 0.1115 x6

Formation energy from raw total energies = -0.15 eV/atom
DOS(E_F) = 0.63 states/eV/atom
Theoretical density = 6.098 Mg/m³

---

Material: Zn2CoSe
Method: DFT, meta-GGA SCAN
State: PBEsol geometry

Cell: 3.6110 3.6242 8.3200 Å, 90.00 90.00 90.00°
Space group Immm (No. 71)
Unique sites:
Zn 0.0000 0.0000 0.2501 x4
Co 0.0000 0.5000 0.0000 x2
Se 0.0000 0.5000 0.5000 x2

Formation energy from raw total energies = 0.19 eV/atom
DOS(E_F) = 0.24 states/eV/atom
Theoretical density = 8.196 Mg/m³

---

Material: ZnCo2Se
Method: DFT, meta-GGA SCAN
State: PBEsol geometry

Cell: 7.5085 2.8569 4.7692 Å, 90.00 101.21 90.00°
Space group C2/m (No. 12)
Unique sites:
Zn 0.0000 0.0000 0.0000 x2
Co 0.2469 0.0000 0.7291 x4
Se 0.0000 0.5000 0.5000 x2

Formation energy from raw total energies = 0.31 eV/atom
DOS(E_F) = 0.53 states/eV/atom
Theoretical density = 8.678 Mg/m³